! Na4CoRh3O8 | the Alexandria database | PBE with a Hubbard U | optimized geometry; values from VASP
&SYSTEM
  ibrav = 0, nat = 16, ntyp = 4
/
ATOMIC_SPECIES
Na 22.99 Na.upf
Co 58.93 Co.upf
Rh 102.91 Rh.upf
O 16.00 O.upf
CELL_PARAMETERS angstrom
6.2927 0.0000 0.0000
0.0000 6.3714 0.0627
-3.1464 -3.1349 4.4401
ATOMIC_POSITIONS crystal
Na 0.5000 0.0000 0.0000
Na 0.5000 0.0000 0.5000
Na 0.0000 0.0000 0.0000
Na 0.0000 0.0000 0.5000
Co 0.0000 0.5000 0.0000
Rh 0.5000 0.5000 0.0000
Rh 0.5000 0.5000 0.5000
Rh 0.0000 0.5000 0.5000
O 0.2393 0.7010 0.9625
O 0.2377 0.7008 0.4753
O 0.2668 0.3010 0.5335
O 0.7232 0.7010 0.9625
O 0.2768 0.2990 0.0375
O 0.7332 0.6990 0.4665
O 0.7623 0.2992 0.5247
O 0.7607 0.2990 0.0375
! - DFT total energy: -90.6 eV/cell
! - Size of the total moment: 3.91 Bohr magnetons per cell
! - Symmetry: C2/m
! - Volume: 11.20 Å³/atom